Entry 1:
# PaNbSb PBE optimized geometry
# ΔE_f (raw)	-0.8	eV per formula unit
data_PaNbSb
_chemical_formula_sum 'Pa4 Nb4 Sb4'
_cell_length_a 8.235
_cell_length_b 3.797
_cell_length_c 8.756
_cell_angle_alpha 90.00
_cell_angle_beta 90.00
_cell_angle_gamma 90.00
_symmetry_space_group_name_H-M 'P n m a'
_symmetry_Int_Tables_number 62
loop_
_symmetry_equiv_pos_as_xyz
'x,y,z'
'-x,-y,-z'
'-x+1/2,-y,z+1/2'
'x+1/2,y,-z+1/2'
'x+1/2,-y+1/2,-z+1/2'
'-x+1/2,y+1/2,z+1/2'
'-x,y+1/2,-z'
'x,-y+1/2,z'
loop_
_atom_site_label
_atom_site_fract_x
_atom_site_fract_y
_atom_site_fract_z
Pa1 0.016 0.250 0.135
Nb1 0.125 0.250 0.573
Sb1 0.213 0.750 0.356

Entry 2:
# PaNbSb PBE optimized geometry
# ΔE_f (raw)	-0.3	eV per formula unit
data_PaNbSb
_chemical_formula_sum 'Pa2 Nb2 Sb2'
_cell_length_a 3.495
_cell_length_b 3.495
_cell_length_c 11.334
_cell_angle_alpha 90.00
_cell_angle_beta 90.00
_cell_angle_gamma 90.00
_symmetry_space_group_name_H-M 'I 4 m m'
_symmetry_Int_Tables_number 107
_symmetry_space_group_name_Hall 'I 4 -2'
loop_
_atom_site_label
_atom_site_fract_x
_atom_site_fract_y
_atom_site_fract_z
Pa1 0.000 0.000 0.000
Nb1 0.000 0.000 0.330
Sb1 0.000 0.000 0.702

| no. | VASP energy (eV per formula unit) | theoretical density (g/cm3) |
| --- | --- | --- |
| 1 | -24.5 | 10.81 |
| 2 | -24.0 | 10.69 |